The following is a DFT calculation (PBE-GGA) of an optimized crystal structure of Dy2PO.

```
Dy2PO
1.0
3.6396 0.0000 0.0000
-1.8198 3.1520 0.0000
0.0000 0.0000 19.5412
Dy P O
6 3 3
Direct
0.0000 0.0000 0.0000 Dy
0.0000 0.0000 0.1613 Dy
0.3333 0.6667 0.6667 Dy
0.3333 0.6667 0.8280 Dy
0.6667 0.3333 0.3333 Dy
0.6667 0.3333 0.4947 Dy
0.0000 0.0000 0.5807 P
0.3333 0.6667 0.2474 P
0.6667 0.3333 0.9141 P
0.0000 0.0000 0.7532 O
0.3333 0.6667 0.4198 O
0.6667 0.3333 0.0865 O
```

Values from the calculation:
- Space-group type: R3m
- Mass density: 8.27 g/cm3
- Energy relative to the lowest polymorph listed for this composition: 213 meV/atom
- M_tot: 0.000 μB/f.u.
- DOS at the Fermi energy: 7.12 states/eV per cell



The following is a DFT calculation (PBE-GGA) of an optimized crystal structure of DyP3O9.

```
DyP3O9
1.0
4.2377 -5.5378 0.0000
4.2377 5.5378 0.0000
0.0000 0.0000 7.2341
Dy P O
2 6 18
Direct
0.1258 0.1258 0.0000 Dy
0.8742 0.8742 0.5000 Dy
0.2496 0.2496 0.5000 P
0.3090 0.6655 0.9575 P
0.3345 0.6910 0.5425 P
0.6655 0.3090 0.0425 P
0.6910 0.3345 0.4575 P
0.7504 0.7504 0.0000 P
0.1318 0.1702 0.6725 O
0.1702 0.1318 0.3275 O
0.1716 0.7924 0.5301 O
0.2076 0.8284 0.9699 O
0.2116 0.4660 0.0369 O
0.2515 0.4727 0.4523 O
0.3707 0.6293 0.7500 O
0.4660 0.2116 0.9631 O
0.4727 0.2515 0.5477 O
0.5273 0.7485 0.0477 O
0.5340 0.7884 0.4631 O
0.6293 0.3707 0.2500 O
0.7485 0.5273 0.9523 O
0.7884 0.5340 0.5369 O
0.7924 0.1716 0.4699 O
0.8284 0.2076 0.0301 O
0.8298 0.8682 0.8275 O
0.8682 0.8298 0.1725 O
```

Values from the calculation:
- Space-group type: C222_1
- Mass density: 3.91 g/cm3
- Energy relative to the lowest polymorph listed for this composition: 28 meV/atom
- M_tot: 0.000 μB/f.u.
- DOS at the Fermi energy: 0.00 states/eV per cell



The following is a DFT calculation (PBE-GGA) of an optimized crystal structure of DyP2O2.

```
DyP2O2
1.0
-4.8711 4.8711 3.9611
4.8711 -4.8711 3.9611
4.8711 4.8711 -3.9611
Dy P O
4 8 8
Direct
0.0000 0.0000 0.0000 Dy
0.0000 0.0000 0.5000 Dy
0.0000 0.5000 0.0000 Dy
0.5000 0.0000 0.5000 Dy
0.0975 0.6364 0.4611 P
0.3248 0.3636 0.9611 P
0.3636 0.3248 0.4611 P
0.3636 0.9025 0.0389 P
0.6364 0.0975 0.9611 P
0.6364 0.6752 0.5389 P
0.6752 0.6364 0.0389 P
0.9025 0.3636 0.5389 P
0.2530 0.3497 0.5967 O
0.2530 0.6563 0.9033 O
0.3437 0.7470 0.5967 O
0.3497 0.2530 0.0967 O
0.6503 0.7470 0.9033 O
0.6563 0.2530 0.4033 O
0.7470 0.3437 0.0967 O
0.7470 0.6503 0.4033 O
```

Values from the calculation:
- Space-group type: I4_1/amd
- Mass density: 4.53 g/cm3
- Energy relative to the lowest polymorph listed for this composition: 318 meV/atom
- M_tot: 0.000 μB/f.u.
- DOS at the Fermi energy: 7.42 states/eV per cell



The following is a DFT calculation (PBE-GGA) of an optimized crystal structure of DyP2PbO8.

```
DyP2PbO8
1.0
5.4217 0.0000 0.0000
-2.7109 4.6954 0.0000
0.0000 0.0000 7.3913
Dy P Pb O
1 2 1 8
Direct
0.0000 0.0000 0.0000 Dy
0.3333 0.6667 0.2719 P
0.6667 0.3333 0.7281 P
0.0000 0.0000 0.5000 Pb
0.1779 0.3558 0.2019 O
0.1779 0.8221 0.2019 O
0.3333 0.6667 0.4812 O
0.3558 0.1779 0.7981 O
0.6442 0.8221 0.2019 O
0.6667 0.3333 0.5188 O
0.8221 0.1779 0.7981 O
0.8221 0.6442 0.7981 O
```

Values from the calculation:
- Space-group type: P-3m1
- E_tot: -7.1938 eV per atom
- Mass density: 4.94 g/cm3
- M_tot: 1.035 μB/f.u.
- DOS at the Fermi energy: 8.95 states/eV per cell



The following is a DFT calculation (PBE-GGA) of an optimized crystal structure of Dy3PPbO.

```
Dy3PPbO
1.0
8.8445 0.0000 0.0000
0.0000 3.9800 0.0000
-2.1653 0.0000 8.6833
Dy P Pb O
6 2 2 2
Direct
0.0648 0.2500 0.3422 Dy
0.3360 0.2500 0.9787 Dy
0.3794 0.7500 0.6490 Dy
0.6206 0.2500 0.3510 Dy
0.6640 0.7500 0.0213 Dy
0.9352 0.7500 0.6578 Dy
0.1563 0.2500 0.6614 P
0.8437 0.7500 0.3386 P
0.3157 0.7500 0.2728 Pb
0.6843 0.2500 0.7272 Pb
0.4121 0.7500 0.9047 O
0.5879 0.2500 0.0953 O
```

Values from the calculation:
- Space-group type: P2_1/m
- E_tot: -6.3308 eV per atom
- Mass density: 8.06 g/cm3
- M_tot: 0.000 μB/f.u.
- DOS at the Fermi energy: 4.73 states/eV per cell



The following is a DFT calculation (PBE-GGA) of an optimized crystal structure of PmDyP2O8.

```
PmDyP2O8
1.0
5.2681 0.0000 0.0000
-2.6341 4.5623 0.0000
0.0000 0.0000 7.1095
Pm Dy P O
1 1 2 8
Direct
0.0000 0.0000 0.0000 Pm
0.0000 0.0000 0.5000 Dy
0.3333 0.6667 0.7986 P
0.6667 0.3333 0.2014 P
0.1733 0.3466 0.7234 O
0.1733 0.8267 0.7234 O
0.3333 0.6667 0.0133 O
0.3466 0.1733 0.2766 O
0.6534 0.8267 0.7234 O
0.6667 0.3333 0.9867 O
0.8267 0.1733 0.2766 O
0.8267 0.6534 0.2766 O
```

Values from the calculation:
- Space-group type: P-3m1
- E_tot: -7.8837 eV per atom
- Mass density: 4.83 g/cm3
- M_tot: 0.000 μB/f.u.
- DOS at the Fermi energy: 0.00 states/eV per cell